A relaxed Li3Mn2CoO6 crystal. Source: Alexandria via LeMat-Bulk, functional GGA+U.

```
Li3Mn2CoO6
1.0
2.6366 -4.3657 0.0000
2.6366 4.3657 0.0000
-1.2051 0.0000 9.7495
Li Mn Co O
6 4 2 12
Cartesian
1.3183 2.1828 0.0000 Li
0.5807 0.7236 4.8216 Li
-0.0218 -0.7236 9.6963 Li
0.7157 -2.1828 4.8748 Li
4.0898 0.7236 0.0532 Li
3.4873 -0.7236 4.9279 Li
2.3353 3.6735 2.4374 Mn
2.3353 0.7565 2.4374 Mn
1.7327 -0.7565 7.3121 Mn
1.7327 -3.6735 7.3121 Mn
1.7327 2.1783 7.3121 Co
2.3353 -2.1783 2.4374 Co
0.4610 0.6458 1.2861 O
1.6083 2.2160 3.5528 O
-0.1415 -0.6458 6.1608 O
0.7774 0.6439 8.3541 O
3.0623 2.2160 1.3220 O
1.3800 -0.6439 3.4794 O
2.6880 0.6439 6.2702 O
1.0058 -2.2160 8.4276 O
3.2906 -0.6439 1.3954 O
4.2096 0.6458 3.5887 O
2.4597 -2.2160 6.1967 O
3.6070 -0.6458 8.4635 O
```

excess energy over the best structure of this formula in the dataset: 0.7 meV per atom